Computed, not measured: CrFeW2 after structural relaxation at the PBE level of DFT.

N(E_F): 1.057 states/eV/atom
space group: No. 166
ΔE to the lowest computed polymorph: 1.27 eV/f.u.
DFT total energy: -10.569 eV per atom
energy relative to the elements: 0.43 eV/atom

a b c (Å): 8.7775 8.7775 8.7775
angles (deg): 18.14 18.14 18.14
Last column: nearest neighbours and their distance in Å.
Sites, in units of the cell vectors:
W 0.0020 0.0020 0.0020  3 Fe 2.64, 3 Cr 2.73, 6 W 2.77
W 0.4980 0.4980 0.4980  3 Fe 2.64, 3 Cr 2.73, 6 W 2.77
Fe 0.7500 0.7500 0.7500  6 W 2.64, 6 Fe 2.77
Cr 0.2500 0.2500 0.2500  6 W 2.73, 6 Cr 2.77